No. 1
Computed, not measured: a relaxed MnNbFe crystal at the PBE level of DFT.

Values from the calculation:
The value obtained for the energy above the most stable polymorph in this dataset is 187 meV per atom. The calculation puts the energy relative to the elements at 49 meV per atom. The total energy comes out at -110.22 eV per cell. As for the magnetization: 1.10 μB/atom. As for the space group: No. 63.

Geometry as extended XYZ:
```
12
Lattice="4.158 0.000 0.000 0.000 9.489 0.000 0.000 0.000 4.200" Properties=species:S:1:pos:R:3 pbc="T T T"
Mn 0.000 0.846 1.050
Mn 0.000 8.644 3.150
Mn 2.079 3.899 3.150
Mn 2.079 5.590 1.050
Nb 0.000 3.825 1.050
Nb 0.000 5.664 3.150
Nb 2.079 0.919 3.150
Nb 2.079 8.570 1.050
Fe 0.000 2.397 3.150
Fe 0.000 7.092 1.050
Fe 2.079 2.348 1.050
Fe 2.079 7.142 3.150
```


No. 2
Computed, not measured: a relaxed As2AuS6 crystal at the PBE level of DFT.

Values from the calculation:
The total energy comes out at -71.90 eV per cell. As for the magnetization: 0.00 μB/atom. The energy relative to the elements, uncorrected comes out at 1.4 eV/f.u. As for the space group: No. 15.

Geometry as extended XYZ:
```
18
Lattice="6.695 -6.267 0.000 6.695 6.267 0.000 -2.627 0.000 5.402" Properties=species:S:1:pos:R:3 pbc="T T T"
As 2.539 1.095 0.810
As 1.225 -1.095 3.511
As 9.537 1.095 1.891
As 8.224 -1.095 4.592
Au 6.038 3.263 1.350
Au 4.725 -3.263 4.051
S -0.030 0.883 3.948
S 2.803 3.394 4.462
S 1.284 -0.883 1.247
S 4.363 1.169 1.891
S 6.646 3.394 3.640
S 3.050 -1.169 4.591
S 7.713 1.169 0.810
S 4.116 -3.394 1.762
S 6.400 -1.169 3.511
S 9.479 0.883 4.155
S 7.960 -3.394 0.939
S 10.793 -0.883 1.454
```


What did the first record say?
Computed, not measured: a relaxed MnNbFe crystal at the PBE level of DFT.

Values from the calculation:
The value obtained for the energy above the most stable polymorph in this dataset is 187 meV per atom. The calculation puts the energy relative to the elements at 49 meV per atom. The total energy comes out at -110.22 eV per cell. As for the magnetization: 1.10 μB/atom. As for the space group: No. 63.

Geometry as extended XYZ:
```
12
Lattice="4.158 0.000 0.000 0.000 9.489 0.000 0.000 0.000 4.200" Properties=species:S:1:pos:R:3 pbc="T T T"
Mn 0.000 0.846 1.050
Mn 0.000 8.644 3.150
Mn 2.079 3.899 3.150
Mn 2.079 5.590 1.050
Nb 0.000 3.825 1.050
Nb 0.000 5.664 3.150
Nb 2.079 0.919 3.150
Nb 2.079 8.570 1.050
Fe 0.000 2.397 3.150
Fe 0.000 7.092 1.050
Fe 2.079 2.348 1.050
Fe 2.079 7.142 3.150
```